[1]
Entry from the Alexandria database: a geometry-optimized YP2Rh structure (GGA-PBE).

Calculated values
magnetic moment = 0.00 μB per formula unit
polymorph energy (0 for the lowest one) = 0.075 eV per atom
crystal system = trigonal
formation energy = -949.9 meV per atom
calculated total energy = -7.109 eV/atom

```
data_YP2Rh
_chemical_formula_sum 'Y3 P6 Rh3'
_space_group_name_H-M_alt 'R 3 m'
_space_group_IT_number 160
_space_group_name_Hall 'R 3 -2"'
_cell_length_a 3.8269
_cell_length_b 3.8269
_cell_length_c 17.0267
_cell_angle_alpha 90.00
_cell_angle_beta 90.00
_cell_angle_gamma 120.00
loop_
_atom_site_label
_atom_site_fract_x
_atom_site_fract_y
_atom_site_fract_z
_atom_site_occupancy
Y1 0.0000 0.0000 0.0000 1
P1 0.0000 0.0000 0.5690 1
P2 0.0000 0.0000 0.7802 1
Rh1 0.0000 0.0000 0.1844 1
```

[2]
Entry from the Alexandria database: a geometry-optimized YP2Rh structure (GGA-PBE).

Calculated values
magnetic moment = 0.00 μB per formula unit
polymorph energy (0 for the lowest one) = 0.420 eV per atom
crystal system = tetragonal
formation energy = -605.0 meV per atom
calculated total energy = -6.764 eV/atom

```
data_YP2Rh
_chemical_formula_sum 'Y1 P2 Rh1'
_space_group_name_H-M_alt 'P 4 m m'
_space_group_IT_number 99
_cell_length_a 3.560
_cell_length_b 3.560
_cell_length_c 5.648
_cell_angle_alpha 90.00
_cell_angle_beta 90.00
_cell_angle_gamma 90.00
loop_
_space_group_symop_operation_xyz
'x,y,z'
'-y,x,z'
'-x,-y,z'
'y,-x,z'
'-x,y,z'
'y,x,z'
'x,-y,z'
'-y,-x,z'
loop_
_atom_site_label
_atom_site_fract_x
_atom_site_fract_y
_atom_site_fract_z
_atom_site_occupancy
Y1 0.000 0.000 0.000 1
P1 0.000 0.000 0.503 1
P2 0.500 0.500 0.186 1
Rh1 0.500 0.500 0.611 1
```

[3]
Entry from the Alexandria database: a geometry-optimized YPRh2 structure (GGA-PBE).

Calculated values
magnetic moment = 0.00 μB per formula unit
crystal system = orthorhombic
formation energy = -594.7 meV per atom
calculated total energy = -7.239 eV/atom

```
data_YPRh2
_chemical_formula_sum 'Y1 P1 Rh2'
_space_group_name_H-M_alt 'P m m 2'
_space_group_IT_number 25
_cell_length_a 3.376
_cell_length_b 3.538
_cell_length_c 5.754
_cell_angle_alpha 90.00
_cell_angle_beta 90.00
_cell_angle_gamma 90.00
loop_
_space_group_symop_operation_xyz
'x,y,z'
'-x,-y,z'
'-x,y,z'
'x,-y,z'
loop_
_atom_site_label
_atom_site_fract_x
_atom_site_fract_y
_atom_site_fract_z
_atom_site_occupancy
Y1 0.000 0.000 0.000 1
P1 0.500 0.500 0.350 1
Rh1 0.000 0.000 0.470 1
Rh2 0.500 0.500 0.752 1
```